VASP calculation (PBE+U) on a relaxed structure of CsRbCrF6.

```
9
Lattice="-5.965 1.139 0.782 -3.993 -4.626 0.240 0.603 -0.271 5.017" Properties=species:S:1:pos:R:3 pbc="T T T"
Cs -5.445 0.905 5.111
F -3.407 -2.764 2.011
F -4.316 -1.877 4.294
F -1.668 -0.748 1.909
F -1.703 -2.376 3.952
F -2.566 0.151 4.192
F -4.265 -0.253 2.249
Rb -6.468 -2.402 2.106
Cr -2.987 -1.311 3.107
```

Values from the calculation:
Symmetry: Cm
Electronic total energy (eV/atom): -4.973